Record 1
This record from Alexandria via LeMat-Bulk describes a geometry-optimized CsNpB2F8 structure. The functional is PBE.

Output
The uncorrected formation energy comes out at -2616 meV/atom. Its density of states at the Fermi level is 6.50 states/eV per cell.

a b c (Å): 4.790 4.790 10.906
angles (deg): 77.31 77.31 60.00
Fractional coordinates of all 12 atoms:
Np  0.000  0.000  0.000
Cs  0.500  0.500  0.500
F  0.434  0.786  0.791
B  0.250  0.250  0.249
F  0.795  0.795  0.614
F  0.566  0.214  0.209
F  0.012  0.566  0.209
B  0.750  0.750  0.751
F  0.988  0.434  0.791
F  0.205  0.205  0.386
F  0.214  0.012  0.209
F  0.786  0.988  0.791



Record 2
This record from Alexandria via LeMat-Bulk describes a geometry-optimized CsBOF2 structure. The functional is PBE.

Output
The uncorrected formation energy comes out at -1547 meV/atom. Its density of states at the Fermi level is 0.00 states/eV per cell.

a b c (Å): 4.804 4.804 2.875
angles (deg): 90.00 90.00 90.00
Fractional coordinates of all 5 atoms:
F  0.000  0.500  0.000
O  0.000  0.000  0.500
B  0.000  0.000  0.000
F  0.500  0.000  0.000
Cs  0.500  0.500  0.500